# 1
A plane-wave DFT calculation with PBE was carried out for a geometry-optimized Sc2Si2Sb structure. Values from VASP.

Geometry as Quantum ESPRESSO input:
```
&SYSTEM
  ibrav = 0, nat = 5, ntyp = 3
/
ATOMIC_SPECIES
Si 28.09 Si.upf
Sc 44.96 Sc.upf
Sb 121.76 Sb.upf
CELL_PARAMETERS angstrom
3.6106 0.0000 0.0000
0.0000 3.6106 0.0000
1.8053 1.8053 7.7670
ATOMIC_POSITIONS angstrom
Si 3.6106 1.8053 3.8835
Si 1.8053 3.6106 3.8835
Sc 1.8053 1.8053 1.7487
Sc 3.6106 3.6106 6.0183
Sb 0.0000 0.0000 0.0000
```

Summary:
Calculated volume in Å³ per atom: 20.25
Raw formation energy in eV per formula unit: -2.92
Energy above the most stable polymorph in this dataset in meV per atom: 0

=====

# 2
A plane-wave DFT calculation with PBE was carried out for a geometry-optimized AgPOs2 structure. Values from VASP.

Geometry as Quantum ESPRESSO input:
```
&SYSTEM
  ibrav = 0, nat = 4, ntyp = 3
/
ATOMIC_SPECIES
Os 190.23 Os.upf
Ag 107.87 Ag.upf
P 30.97 P.upf
CELL_PARAMETERS angstrom
4.9970 -0.0001 0.0240
4.1930 2.7182 0.0240
1.4475 0.4281 4.6859
ATOMIC_POSITIONS angstrom
Os 8.0958 2.3945 3.6288
Os 1.4768 0.4368 4.2516
Ag 2.6473 0.7830 1.2551
P 5.1841 1.5333 2.6513
```

Summary:
Calculated volume in Å³ per atom: 15.89
E_form in eV per atom: 0.52

=====

Repeat the second record exactly.
A plane-wave DFT calculation with PBE was carried out for a geometry-optimized AgPOs2 structure. Values from VASP.

Geometry as Quantum ESPRESSO input:
```
&SYSTEM
  ibrav = 0, nat = 4, ntyp = 3
/
ATOMIC_SPECIES
Os 190.23 Os.upf
Ag 107.87 Ag.upf
P 30.97 P.upf
CELL_PARAMETERS angstrom
4.9970 -0.0001 0.0240
4.1930 2.7182 0.0240
1.4475 0.4281 4.6859
ATOMIC_POSITIONS angstrom
Os 8.0958 2.3945 3.6288
Os 1.4768 0.4368 4.2516
Ag 2.6473 0.7830 1.2551
P 5.1841 1.5333 2.6513
```

Summary:
Calculated volume in Å³ per atom: 15.89
E_form in eV per atom: 0.52

=====

What is the calculated volume in the first record? 20.25 Å³ per atom